No. 1
Entry from the Alexandria database: crystalline AcHoZnCu at its relaxed geometry (PBE).

Cell lengths 7.3956, 7.3956, 7.3956 Å; angles 90.00, 90.00, 90.00 degrees
Last column: nearest neighbours and their distance in Å.
Space group F-43m (No. 216)
Unique sites:
Ac  0.0000  0.0000  0.0000 [4 per cell]  4 Zn 3.20, 4 Cu 3.20
Ho  0.0000  0.0000  0.5000 [4 per cell]  4 Cu 3.20, 4 Zn 3.20
Zn  0.2500  0.2500  0.7500 [4 per cell]  4 Ac 3.20, 4 Ho 3.20
Cu  0.2500  0.2500  0.2500 [4 per cell]  4 Ac 3.20, 4 Ho 3.20

Results
The formation energy comes out at -171 meV/atom. As for the crystal system: cubic. The electronic total energy is -3.685 eV/atom. Its calculated volume is 404.5 Å³ per cell.



No. 2
Entry from the Alexandria database: crystalline Si3Cl at its relaxed geometry (PBE).

Cell lengths 4.1084, 4.1084, 4.1084 Å; angles 90.00, 90.00, 90.00 degrees
Last column: nearest neighbours and their distance in Å.
Space group Pm-3m (No. 221)
Unique sites:
Si  0.0000  0.0000  0.5000 [3 per cell]  4 Cl 2.91, 8 Si 2.91
Cl  0.5000  0.5000  0.5000 [1 per cell]  12 Si 2.91

Results
As for the crystal system: cubic. The electronic total energy is -3.679 eV/atom. Its calculated volume is 69.3 Å³ per cell.



No. 3
Entry from the Alexandria database: crystalline HoHg2 at its relaxed geometry (PBE).

Cell lengths 3.6766, 6.4777, 13.4182 Å; angles 90.00, 90.12, 90.00 degrees
Last column: nearest neighbours and their distance in Å.
Space group C2/c (No. 15)
Unique sites:
Ho  0.0000  0.0082  0.2500 [4 per cell]  6 Hg 3.11-3.12
Hg  0.0004  0.3380  0.0819 [8 per cell]  3 Hg 3.04-3.09, 3 Ho 3.11-3.12

Results
The formation energy comes out at -254 meV/atom. As for the crystal system: monoclinic. The electronic total energy is -1.981 eV/atom. Its calculated volume is 319.6 Å³ per cell.



No. 4
Entry from the Alexandria database: crystalline Na2HfCu at its relaxed geometry (PBE).

Cell lengths 6.9945, 6.9945, 6.9945 Å; angles 90.00, 90.00, 90.00 degrees
Last column: nearest neighbours and their distance in Å.
Space group Fm-3m (No. 225)
Unique sites:
Na  0.2500  0.2500  0.2500 [8 per cell]  4 Cu 3.03, 4 Hf 3.03
Hf  0.0000  0.0000  0.0000 [4 per cell]  8 Na 3.03
Cu  0.0000  0.0000  0.5000 [4 per cell]  8 Na 3.03

Results
The formation energy comes out at 1022 meV/atom. As for the crystal system: cubic. The electronic total energy is -3.150 eV/atom. Its calculated volume is 342.2 Å³ per cell.